Nd2Y2CI3Br2 | the Open Quantum Materials Database | PBE-GGA | relaxed; total DFT energy (no corrections) = -0.38301 Ry/atom; total moment = 0.27 μB/cell
1.0
9.409 -2.001 0.000
9.409 2.001 0.000
-1.866 0.000 8.654
Nd Y C I Br
2 2 1 3 2
direct
0.002 0.002 0.305
0.998 0.998 0.695
0.369 0.369 0.440
0.631 0.631 0.560
0.500 0.500 0.500
0.170 0.170 0.827
0.500 0.500 0.000
0.830 0.830 0.173
0.168 0.168 0.352
0.832 0.832 0.648